## w
VASP calculation (PBE-GGA) on an optimized crystal structure of Pr5Sm4Th.

The structure in POSCAR format:
```
Pr5Sm4Th
1.0
9.310 -1.813 0.000
9.310 1.813 0.000
-1.157 0.000 10.679
Pr Sm Th
5 4 1
Direct
0.000 0.000 0.000 Pr
0.308 0.308 0.901 Pr
0.363 0.363 0.272 Pr
0.637 0.637 0.728 Pr
0.692 0.692 0.099 Pr
0.180 0.180 0.423 Sm
0.451 0.451 0.740 Sm
0.549 0.549 0.260 Sm
0.820 0.820 0.577 Sm
0.000 0.000 0.500 Th
```

Values from the calculation:
size of the total moment = 0.000 μB per atom



## x
VASP calculation (PBE-GGA) on an optimized crystal structure of Pr5Sm4Th.

The structure in POSCAR format:
```
Pr5Sm4Th
1.0
9.183 -1.788 0.000
9.183 1.788 0.000
-3.264 0.000 10.723
Pr Sm Th
5 4 1
Direct
0.000 0.000 0.000 Pr
0.295 0.295 0.900 Pr
0.396 0.396 0.218 Pr
0.604 0.604 0.782 Pr
0.705 0.705 0.100 Pr
0.195 0.195 0.582 Sm
0.407 0.407 0.688 Sm
0.593 0.593 0.312 Sm
0.805 0.805 0.418 Sm
0.000 0.000 0.500 Th
```

Values from the calculation:
size of the total moment = 0.000 μB per atom



So which one is most stable? That would be x, about 0.066 eV/atom below the next structure.



## w
VASP calculation (PBE-GGA) on an optimized crystal structure of Pr12Sm7Th.

The structure in POSCAR format:
```
Pr12Sm7Th
1.0
6.895 3.981 4.265
-6.895 3.981 4.265
0.000 -7.962 4.265
Pr Sm Th
12 7 1
Direct
0.000 0.258 0.742 Pr
0.000 0.742 0.258 Pr
0.161 0.591 0.591 Pr
0.258 0.000 0.742 Pr
0.258 0.742 0.000 Pr
0.409 0.409 0.839 Pr
0.409 0.839 0.409 Pr
0.591 0.161 0.591 Pr
0.591 0.591 0.161 Pr
0.742 0.000 0.258 Pr
0.742 0.258 0.000 Pr
0.839 0.409 0.409 Pr
0.147 0.147 0.407 Sm
0.147 0.407 0.147 Sm
0.407 0.147 0.147 Sm
0.500 0.500 0.500 Sm
0.593 0.853 0.853 Sm
0.853 0.593 0.853 Sm
0.853 0.853 0.593 Sm
0.000 0.000 0.000 Th
```

Values from the calculation:
size of the total moment = 0.000 μB per atom



## x
VASP calculation (PBE-GGA) on an optimized crystal structure of Pr12Sm7Th.

The structure in POSCAR format:
```
Pr12Sm7Th
1.0
-5.853 5.853 5.853
5.853 -5.853 5.853
5.853 5.853 -5.853
Pr Sm Th
12 7 1
Direct
0.000 0.242 0.758 Pr
0.000 0.758 0.242 Pr
0.242 0.000 0.758 Pr
0.242 0.242 0.484 Pr
0.242 0.484 0.242 Pr
0.242 0.758 0.000 Pr
0.484 0.242 0.242 Pr
0.516 0.758 0.758 Pr
0.758 0.000 0.242 Pr
0.758 0.242 0.000 Pr
0.758 0.516 0.758 Pr
0.758 0.758 0.516 Pr
0.000 0.000 0.500 Sm
0.000 0.500 0.000 Sm
0.000 0.500 0.500 Sm
0.500 0.000 0.000 Sm
0.500 0.000 0.500 Sm
0.500 0.500 0.000 Sm
0.500 0.500 0.500 Sm
0.000 0.000 0.000 Th
```

Values from the calculation:
size of the total moment = 0.000 μB per atom



So which one is most stable? That would be w, about 0.566 eV/atom below the next structure.